# ZrZn2P

A geometry-optimized ZrZn2P structure (PBE-GGA, the Alexandria database).

Properties
SG ... No. 123

```
4
Lattice="3.772 0.000 0.000 0.000 3.772 0.000 0.000 0.000 4.617" Properties=species:S:1:pos:R:3 pbc="T T T"
Zn 0.000 1.886 0.000
Zn 1.886 0.000 0.000
P 0.000 0.000 2.309
Zr 1.886 1.886 2.309
```

# ZrZnP2

A geometry-optimized ZrZnP2 structure (PBE-GGA, the Alexandria database).

Properties
SG ... No. 122

```
8
Lattice="5.754 0.000 0.000 0.000 5.754 0.000 2.877 2.877 5.681" Properties=species:S:1:pos:R:3 pbc="T T T"
Zn 2.877 2.877 0.000
Zr 0.000 0.000 0.000
P 1.532 4.315 1.420
P 4.221 1.438 1.420
Zr 5.754 2.877 2.841
P 4.315 4.409 4.261
P 7.192 7.098 4.261
Zn 2.877 5.754 2.841
```

# ZrZn2P

A geometry-optimized ZrZn2P structure (PBE-GGA, the Alexandria database).

Properties
SG ... No. 166

```
4
Lattice="-4.904 -4.150 -6.340 -3.985 -6.558 -4.751 -6.433 -5.009 -3.872" Properties=species:S:1:pos:R:3 pbc="T T T"
Zn -11.373 -11.666 -11.106
P 0.000 0.000 0.000
Zn -3.950 -4.051 -3.857
Zr -7.661 -7.858 -7.482
```

Calculated values (states/eV per atom) of N(E_F) for the records, taken in order: 0.48 0.00 0.96.
Calculated values (eV per atom) of DFT total energy for the records, taken in order: -4.532 -5.580 -4.007.
Calculated values (meV/atom) of ΔH_f (0 K) for the records, taken in order: -406 -420 120.